Dy4AlZnCu2, optimized geometry, DFT PBE; VASP energy = -33.9 eV per formula unit; energy of formation from the pure elements = -2.27 eV per formula unit
1.0
2.503 1.445 8.169
-2.503 1.445 8.169
0.000 -2.891 8.169
Dy Al Zn Cu
4 1 1 2
Direct
0.123 0.123 0.123
0.373 0.373 0.373
0.627 0.627 0.627
0.877 0.877 0.877
0.500 0.500 0.500
0.000 0.000 0.000
0.246 0.246 0.246
0.754 0.754 0.754

DyAlZn2Cu4, optimized geometry, DFT PBE; VASP energy = -28.7 eV per formula unit; energy of formation from the pure elements = -1.44 eV per formula unit
1.0
2.099 1.212 8.124
-2.099 1.212 8.124
0.000 -2.424 8.124
Dy Al Zn Cu
1 1 2 4
Direct
0.000 0.000 0.000
0.500 0.500 0.500
0.243 0.243 0.243
0.757 0.757 0.757
0.130 0.130 0.130
0.400 0.400 0.400
0.600 0.600 0.600
0.870 0.870 0.870

DyAlZnCu6, optimized geometry, DFT PBE; VASP energy = -33.3 eV per formula unit; energy of formation from the pure elements = 0.87 eV per formula unit
1.0
-3.420 4.333 4.834
3.420 -4.333 4.834
3.420 4.333 -4.834
Dy Al Zn Cu
2 2 2 12
Direct
0.463 0.213 0.250
0.537 0.787 0.750
0.000 0.000 0.500
0.000 0.500 0.000
0.000 0.000 0.000
0.500 0.000 0.500
0.130 0.445 0.321
0.130 0.809 0.685
0.168 0.918 0.250
0.228 0.478 0.750
0.376 0.191 0.821
0.376 0.555 0.185
0.624 0.445 0.815
0.624 0.809 0.179
0.772 0.522 0.250
0.832 0.082 0.750
0.870 0.191 0.315
0.870 0.555 0.679

DyAlZnCu, optimized geometry, DFT PBE; VASP energy = -15.1 eV per formula unit; energy of formation from the pure elements = -1.41 eV per formula unit
1.0
0.000 3.269 3.269
3.269 0.000 3.269
3.269 3.269 0.000
Dy Al Zn Cu
1 1 1 1
Direct
0.000 0.000 0.000
0.500 0.500 0.500
0.250 0.250 0.250
0.750 0.750 0.750

Dy2Al3ZnCu12, optimized geometry, DFT PBE; VASP energy = -70.0 eV per formula unit; energy of formation from the pure elements = 0.87 eV per formula unit
1.0
2.670 1.542 11.631
-2.670 1.542 11.631
0.000 -3.083 11.631
Dy Al Zn Cu
2 3 1 12
Direct
0.142 0.142 0.142
0.858 0.858 0.858
0.000 0.500 0.500
0.500 0.000 0.500
0.500 0.500 0.000
0.500 0.500 0.500
0.100 0.100 0.631
0.100 0.631 0.100
0.107 0.612 0.612
0.369 0.900 0.900
0.388 0.388 0.893
0.388 0.893 0.388
0.612 0.107 0.612
0.612 0.612 0.107
0.631 0.100 0.100
0.893 0.388 0.388
0.900 0.369 0.900
0.900 0.900 0.369

Dy2Al4ZnCu3, optimized geometry, DFT PBE; VASP energy = -41.8 eV per formula unit; energy of formation from the pure elements = -4.06 eV per formula unit
1.0
4.145 0.000 0.000
0.000 4.145 0.000
0.000 0.000 10.267
Dy Al Zn Cu
2 4 1 3
Direct
0.000 0.500 0.249
0.500 0.000 0.751
0.000 0.000 0.000
0.000 0.500 0.638
0.500 0.000 0.362
0.500 0.500 0.000
0.000 0.000 0.500
0.000 0.500 0.869
0.500 0.000 0.131
0.500 0.500 0.500

DyAlZn3Cu, optimized geometry, DFT PBE; VASP energy = -16.5 eV per formula unit; energy of formation from the pure elements = -0.20 eV per formula unit
1.0
3.117 -6.294 0.000
3.117 6.294 0.000
0.000 0.000 5.603
Dy Al Zn Cu
2 2 6 2
Direct
0.200 0.800 0.750
0.800 0.200 0.250
0.427 0.573 0.750
0.573 0.427 0.250
0.195 0.195 0.000
0.195 0.195 0.500
0.355 0.645 0.250
0.645 0.355 0.750
0.805 0.805 0.000
0.805 0.805 0.500
0.150 0.850 0.250
0.850 0.150 0.750

DyAl3ZnCu, optimized geometry, DFT PBE; VASP energy = -22.0 eV per formula unit; energy of formation from the pure elements = -0.80 eV per formula unit
1.0
3.062 -6.285 0.000
3.062 6.285 0.000
0.000 0.000 5.711
Dy Al Zn Cu
2 6 2 2
Direct
0.206 0.794 0.750
0.794 0.206 0.250
0.211 0.211 0.000
0.211 0.211 0.500
0.363 0.637 0.250
0.637 0.363 0.750
0.789 0.789 0.000
0.789 0.789 0.500
0.155 0.845 0.250
0.845 0.155 0.750
0.422 0.578 0.750
0.578 0.422 0.250